Entry 1:
ScTcI2O: relaxed, PBE.

a b c (Å): 5.6305 5.6305 3.7473
angles (deg): 90.00 90.00 90.00
With the nearest neighbours (Å) after each atom.
Space group P4/mmm (No. 123)
Asymmetric unit:
Sc1 0.0000 0.0000 0.0000 [1 per cell]  8 I 3.38, 2 Sc 3.75
Tc1 0.5000 0.5000 0.5000 [1 per cell]  2 O 1.87
I1 0.0000 0.5000 0.5000 [2 per cell]  2 Tc 2.82
O1 0.5000 0.5000 0.0000 [1 per cell]  2 Tc 1.87

Calculated values
E above lowest polymorph	144	meV per atom
DOS at the Fermi energy	1.13	states/eV/atom

=====

Entry 2:
ScTcIO2: relaxed, PBE.

a b c (Å): 3.9063 3.9063 6.0592
angles (deg): 90.00 90.00 90.00
With the nearest neighbours (Å) after each atom.
Space group P4/mmm (No. 123)
Asymmetric unit:
Sc1 0.0000 0.0000 0.0000 [1 per cell]  4 I 2.76
Tc1 0.5000 0.5000 0.5000 [1 per cell]  4 O 1.95
I1 0.5000 0.5000 0.0000 [1 per cell]  4 Sc 2.76, 2 Tc 3.03
O1 0.0000 0.5000 0.5000 [2 per cell]  2 Tc 1.95

Calculated values
E above lowest polymorph	84	meV per atom
DOS at the Fermi energy	0.92	states/eV/atom

=====

Entry 3:
ScTcIO2: relaxed, PBE.

a b c (Å): 4.0631 4.0631 5.9852
angles (deg): 90.00 90.00 90.00
With the nearest neighbours (Å) after each atom.
Space group P4/mmm (No. 123)
Asymmetric unit:
Sc1 0.0000 0.0000 0.0000 [1 per cell]  4 O 2.03
Tc1 0.5000 0.5000 0.5000 [1 per cell]  4 I 2.87
I1 0.0000 0.0000 0.5000 [1 per cell]  4 Tc 2.87, 2 Sc 2.99
O1 0.0000 0.5000 0.0000 [2 per cell]  2 Sc 2.03

Calculated values
E above lowest polymorph	0	meV per atom
DOS at the Fermi energy	0.61	states/eV/atom

=====

Entry 4:
ScTcI2O: relaxed, PBE.

a b c (Å): 5.9172 5.9172 3.8437
angles (deg): 90.00 90.00 90.00
With the nearest neighbours (Å) after each atom.
Space group P4/mmm (No. 123)
Asymmetric unit:
Sc1 0.0000 0.0000 0.0000 [1 per cell]  2 O 1.92
Tc1 0.5000 0.5000 0.5000 [1 per cell]  8 I 3.53, 2 Tc 3.84
I1 0.0000 0.5000 0.0000 [2 per cell]  2 Sc 2.96
O1 0.0000 0.0000 0.5000 [1 per cell]  2 Sc 1.92

Calculated values
E above lowest polymorph	0	meV per atom
DOS at the Fermi energy	0.43	states/eV/atom

=====

Entry 5:
ScTe2IO: relaxed, PBE.

a b c (Å): 5.5822 5.5822 5.6427
angles (deg): 90.00 90.00 90.00
With the nearest neighbours (Å) after each atom.
Space group P4/mmm (No. 123)
Asymmetric unit:
Sc1 0.0000 0.0000 0.0000 [1 per cell]  4 Te 2.79, 2 I 2.82
Te1 0.0000 0.5000 0.0000 [2 per cell]  2 Sc 2.79
I1 0.0000 0.0000 0.5000 [1 per cell]  2 Sc 2.82
O1 0.5000 0.5000 0.5000 [1 per cell]  4 I 3.95, 8 Te 3.97

Calculated values
E above lowest polymorph	434	meV per atom
DOS at the Fermi energy	1.88	states/eV/atom

=====

Entry 6:
ScTeIO4: relaxed, PBE.

a b c (Å): 12.1763 6.4703 6.6386
angles (deg): 90.00 105.16 90.00
With the nearest neighbours (Å) after each atom.
Space group C2/m (No. 12)
Asymmetric unit:
Sc1 0.2155 0.0000 0.3597 [4 per cell]  6 O 2.04-2.24
Te1 0.1233 0.0000 0.7622 [4 per cell]  4 O 1.87-1.96
I1 0.0038 0.5000 0.7798 [4 per cell]  1 I 2.95, 2 O 3.30
O1 0.0402 0.0000 0.2992 [4 per cell]  1 Te 1.92, 1 Sc 2.07
O2 0.1984 0.2022 0.6229 [8 per cell]  1 Te 1.96, 1 Sc 2.18
O3 0.2008 0.0000 0.0457 [4 per cell]  1 Te 1.87, 1 Sc 2.04

Calculated values
DOS at the Fermi energy	0.27	states/eV/atom

=====

Entry 7:
ScTe2IO: relaxed, PBE.

a b c (Å): 4.5256 4.5256 6.0365
angles (deg): 90.00 90.00 90.00
With the nearest neighbours (Å) after each atom.
Space group P4/mmm (No. 123)
Asymmetric unit:
Sc1 0.0000 0.0000 0.0000 [1 per cell]  4 I 3.20
Te1 0.0000 0.5000 0.5000 [2 per cell]  2 O 2.26
I1 0.5000 0.5000 0.0000 [1 per cell]  2 O 3.02, 4 Sc 3.20
O1 0.5000 0.5000 0.5000 [1 per cell]  4 Te 2.26

Calculated values
E above lowest polymorph	0	meV per atom
DOS at the Fermi energy	0.41	states/eV/atom

=====

Entry 8:
ScTiIO2: relaxed, PBE.

a b c (Å): 4.0901 4.0901 5.7676
angles (deg): 90.00 90.00 90.00
With the nearest neighbours (Å) after each atom.
Space group P4/mmm (No. 123)
Asymmetric unit:
Sc1 0.0000 0.0000 0.0000 [1 per cell]  4 O 2.05
Ti1 0.5000 0.5000 0.5000 [1 per cell]  4 I 2.89
I1 0.0000 0.0000 0.5000 [1 per cell]  2 Sc 2.88, 4 Ti 2.89
O1 0.0000 0.5000 0.0000 [2 per cell]  2 Sc 2.05

Calculated values
E above lowest polymorph	209	meV per atom
DOS at the Fermi energy	1.42	states/eV/atom

=====

Entry 9:
ScTiI2O: relaxed, PBE.

a b c (Å): 5.7420 5.7420 3.7285
angles (deg): 90.00 90.00 90.00
With the nearest neighbours (Å) after each atom.
Space group P4/mmm (No. 123)
Asymmetric unit:
Sc1 0.0000 0.0000 0.0000 [1 per cell]  8 I 3.42, 2 Sc 3.73
Ti1 0.5000 0.5000 0.5000 [1 per cell]  2 O 1.86
I1 0.0000 0.5000 0.5000 [2 per cell]  2 Ti 2.87
O1 0.5000 0.5000 0.0000 [1 per cell]  2 Ti 1.86

Calculated values
E above lowest polymorph	0	meV per atom
DOS at the Fermi energy	0.94	states/eV/atom

=====

Entry 10:
ScTiIO2: relaxed, PBE.

a b c (Å): 3.9572 3.9572 5.5932
angles (deg): 90.00 90.00 90.00
With the nearest neighbours (Å) after each atom.
Space group P4/mmm (No. 123)
Asymmetric unit:
Sc1 0.0000 0.0000 0.0000 [1 per cell]  4 I 2.80
Ti1 0.5000 0.5000 0.5000 [1 per cell]  4 O 1.98
I1 0.5000 0.5000 0.0000 [1 per cell]  2 Ti 2.80, 4 Sc 2.80
O1 0.0000 0.5000 0.5000 [2 per cell]  2 Ti 1.98

Calculated values
E above lowest polymorph	0	meV per atom
DOS at the Fermi energy	0.87	states/eV/atom

=====

Entry 11:
ScTiI2O: relaxed, PBE.

a b c (Å): 5.8944 5.8944 3.8474
angles (deg): 90.00 90.00 90.00
With the nearest neighbours (Å) after each atom.
Space group P4/mmm (No. 123)
Asymmetric unit:
Sc1 0.0000 0.0000 0.0000 [1 per cell]  2 O 1.92
Ti1 0.5000 0.5000 0.5000 [1 per cell]  8 I 3.52, 2 Ti 3.85
I1 0.0000 0.5000 0.0000 [2 per cell]  2 Sc 2.95
O1 0.0000 0.0000 0.5000 [1 per cell]  2 Sc 1.92

Calculated values
E above lowest polymorph	36	meV per atom
DOS at the Fermi energy	0.71	states/eV/atom

=====

Entry 12:
Sc2TlIO8: relaxed, PBE.

a b c (Å): 6.6767 6.8716 6.7055
angles (deg): 90.00 90.00 90.00
With the nearest neighbours (Å) after each atom.
Space group Cmmm (No. 65)
Asymmetric unit:
Sc1 0.0000 0.0000 0.2481 [4 per cell]  6 O 2.07-2.21
Tl1 0.0000 0.5000 0.0000 [2 per cell]  2 O 2.11
I1 0.0000 0.5000 0.5000 [2 per cell]  6 O 1.91
O1 0.0000 0.3084 0.2945 [8 per cell]  1 I 1.91
O2 0.1846 0.0000 0.0000 [4 per cell]  2 Sc 2.07, 1 Tl 2.11
O3 0.2146 0.0000 0.5000 [4 per cell]  1 I 1.91

=====

Entry 13:
ScTlI2O: relaxed, PBE.

a b c (Å): 6.1346 6.1346 3.9381
angles (deg): 90.00 90.00 90.00
With the nearest neighbours (Å) after each atom.
Space group P4/mmm (No. 123)
Asymmetric unit:
Sc1 0.0000 0.0000 0.0000 [1 per cell]  2 O 1.97
Tl1 0.5000 0.5000 0.5000 [1 per cell]  8 I 3.64, 2 Tl 3.94
I1 0.0000 0.5000 0.0000 [2 per cell]  2 Sc 3.07
O1 0.0000 0.0000 0.5000 [1 per cell]  2 Sc 1.97

Calculated values
E above lowest polymorph	0	meV per atom

=====

Entry 14:
ScTlIO2: relaxed, PBE.

a b c (Å): 4.2758 4.2758 6.0568
angles (deg): 90.00 90.00 90.00
With the nearest neighbours (Å) after each atom.
Space group P4/mmm (No. 123)
Asymmetric unit:
Sc1 0.0000 0.0000 0.0000 [1 per cell]  4 O 2.14
Tl1 0.5000 0.5000 0.5000 [1 per cell]  4 I 3.02
I1 0.0000 0.0000 0.5000 [1 per cell]  4 Tl 3.02, 2 Sc 3.03
O1 0.0000 0.5000 0.0000 [2 per cell]  2 Sc 2.14

Calculated values
E above lowest polymorph	0	meV per atom
DOS at the Fermi energy	1.04	states/eV/atom

=====

Entry 15:
ScTlI2O: relaxed, PBE.

a b c (Å): 6.2263 6.2263 4.1155
angles (deg): 90.00 90.00 90.00
With the nearest neighbours (Å) after each atom.
Space group P4/mmm (No. 123)
Asymmetric unit:
Sc1 0.0000 0.0000 0.0000 [1 per cell]  8 I 3.73, 2 Sc 4.12
Tl1 0.5000 0.5000 0.5000 [1 per cell]  2 O 2.06
I1 0.0000 0.5000 0.5000 [2 per cell]  2 Tl 3.11
O1 0.5000 0.5000 0.0000 [1 per cell]  2 Tl 2.06

Calculated values
E above lowest polymorph	1381	meV per atom
DOS at the Fermi energy	0.98	states/eV/atom

=====

Entry 16:
ScTlIO2: relaxed, PBE.

a b c (Å): 4.3352 4.3352 5.9191
angles (deg): 90.00 90.00 90.00
With the nearest neighbours (Å) after each atom.
Space group P4/mmm (No. 123)
Asymmetric unit:
Sc1 0.0000 0.0000 0.0000 [1 per cell]  4 I 3.07
Tl1 0.5000 0.5000 0.5000 [1 per cell]  4 O 2.17
I1 0.5000 0.5000 0.0000 [1 per cell]  2 Tl 2.96, 4 Sc 3.07
O1 0.0000 0.5000 0.5000 [2 per cell]  2 Tl 2.17

Calculated values
E above lowest polymorph	1167	meV per atom
DOS at the Fermi energy	0.53	states/eV/atom

=====

Entry 17:
TmSc2IO8: relaxed, PBE.

a b c (Å): 6.8201 6.8617 6.5452
angles (deg): 90.00 90.00 90.00
With the nearest neighbours (Å) after each atom.
Space group Cmmm (No. 65)
Asymmetric unit:
Tm1 0.0000 0.0000 0.0000 [2 per cell]  6 O 2.15-2.27
Sc1 0.0000 0.5000 0.2411 [4 per cell]  4 O 2.02-2.16
I1 0.0000 0.0000 0.5000 [2 per cell]  6 O 1.90-1.91
O1 0.0000 0.1883 0.2850 [8 per cell]  1 I 1.91
O2 0.1849 0.5000 0.0000 [4 per cell]  2 Sc 2.02, 1 Tm 2.15
O3 0.2209 0.5000 0.5000 [4 per cell]  1 I 1.90

Calculated values
DOS at the Fermi energy	0.00	states/eV/atom

=====

| no. | E_form (uncorrected) (eV/atom) |
| --- | --- |
| 1 | -0.306 |
| 2 | -0.586 |
| 3 | -0.670 |
| 4 | -0.450 |
| 5 | 0.184 |
| 6 | -1.446 |
| 7 | -0.250 |
| 8 | -1.174 |
| 9 | -0.950 |
| 10 | -1.383 |
| 11 | -0.915 |
| 12 | -1.694 |
| 13 | -1.474 |
| 14 | -1.286 |
| 15 | -0.093 |
| 16 | -0.119 |
| 17 | -2.327 |